Density functional theory data (PBE-GGA) for YPu2Tl3Se6 after structural relaxation.

Symmetry ... C2/m
E_tot ... -0.475 Ry/atom

Lattice parameters (Å, degrees): 7.318 7.318 8.104 98.65 98.65 119.99
Atoms (fractional coordinates):
Tl: 0.833 0.167 0.500
Tl: 0.167 0.833 0.500
Se: 0.264 0.264 0.795
Y: 0.000 0.000 0.000
Se: 0.400 0.068 0.204
Se: 0.600 0.932 0.796
Tl: 0.500 0.500 0.500
Pu: 0.667 0.333 0.000
Pu: 0.333 0.667 0.000
Se: 0.932 0.600 0.796
Se: 0.068 0.400 0.204
Se: 0.736 0.736 0.205